Record 1
DFT (PBE) results for Cs2ErIBrCl2 after structural relaxation.

Mass density (g/cm³): 4.3
Magnetic moment (μB/atom): 0.11
Crystal system: tetragonal
E_tot (eV/cell): -50.3

The structure in CIF format:
```
data_Cs2ErIBrCl2
_cell_length_a 5.376
_cell_length_b 5.376
_cell_length_c 18.789
_cell_angle_alpha 90.00
_cell_angle_beta 90.00
_cell_angle_gamma 90.00
_symmetry_space_group_name_H-M 'I 4 m m'
_symmetry_Int_Tables_number 107
_symmetry_space_group_name_Hall 'I 4 -2'
loop_
_atom_site_label
_atom_site_type_symbol
_atom_site_fract_x
_atom_site_fract_y
_atom_site_fract_z
_atom_site_occupancy
Cs1 Cs 0.000 0.000 0.000 1
Cs2 Cs 0.000 0.000 0.272 1
Er1 Er 0.000 0.000 0.631 1
I1 I 0.000 0.000 0.797 1
Br1 Br 0.000 0.000 0.478 1
Cl1 Cl 0.000 0.500 0.133 1
```



Record 2
DFT (PBE) results for AcZr after structural relaxation.

Mass density (g/cm³): 8.1
Magnetic moment (μB/atom): 0.00
Crystal system: hexagonal
Energy relative to the elements (eV/f.u.): 0.68

The structure in CIF format:
```
data_AcZr
_cell_length_a 7.3721
_cell_length_b 7.3721
_cell_length_c 5.5638
_cell_angle_alpha 90.00
_cell_angle_beta 90.00
_cell_angle_gamma 120.00
_symmetry_space_group_name_H-M 'P -6 m 2'
_symmetry_Int_Tables_number 187
_symmetry_space_group_name_Hall 'P -6 2'
loop_
_atom_site_label
_atom_site_type_symbol
_atom_site_fract_x
_atom_site_fract_y
_atom_site_fract_z
_atom_site_occupancy
Ac1 Ac 0.0000 0.0000 0.0000 1
Ac2 Ac 0.3489 0.1744 0.5000 1
Zr1 Zr 0.0568 0.5284 0.0000 1
Zr2 Zr 0.3333 0.6667 0.5000 1
```



Record 3
DFT (PBE) results for ErHfZn2Pt4 after structural relaxation.

Mass density (g/cm³): 15.1
Magnetic moment (μB/atom): 0.00
Crystal system: tetragonal
Energy relative to the elements (eV/f.u.): -7.12

The structure in CIF format:
```
data_ErHfZn2Pt4
_cell_length_a 4.600
_cell_length_b 4.600
_cell_length_c 6.521
_cell_angle_alpha 90.00
_cell_angle_beta 90.00
_cell_angle_gamma 90.00
_symmetry_space_group_name_H-M 'P 4/m m m'
_symmetry_Int_Tables_number 123
_symmetry_space_group_name_Hall '-P 4 2'
loop_
_atom_site_label
_atom_site_type_symbol
_atom_site_fract_x
_atom_site_fract_y
_atom_site_fract_z
_atom_site_occupancy
Er1 Er 0.000 0.000 0.000 1
Hf1 Hf 0.500 0.500 0.500 1
Zn1 Zn 0.000 0.000 0.500 1
Zn2 Zn 0.500 0.500 0.000 1
Pt1 Pt 0.000 0.500 0.265 1
```



Record 4
DFT (PBE) results for BeCoBPd after structural relaxation.

Mass density (g/cm³): 7.5
Magnetic moment (μB/atom): 0.13
Crystal system: cubic
E_tot (eV/cell): -85.0

The structure in CIF format:
```
data_BeCoBPd
_cell_length_a 5.481
_cell_length_b 5.481
_cell_length_c 5.481
_cell_angle_alpha 90.00
_cell_angle_beta 90.00
_cell_angle_gamma 90.00
_symmetry_space_group_name_H-M 'F -4 3 m'
_symmetry_Int_Tables_number 216
_symmetry_space_group_name_Hall 'F -4 2 3'
loop_
_atom_site_label
_atom_site_type_symbol
_atom_site_fract_x
_atom_site_fract_y
_atom_site_fract_z
_atom_site_occupancy
Be1 Be 0.000 0.000 0.000 1
Co1 Co 0.000 0.000 0.500 1
B1 B 0.250 0.250 0.250 1
Pd1 Pd 0.250 0.250 0.750 1
```



Record 5
DFT (PBE) results for UAlNi after structural relaxation.

Mass density (g/cm³): 8.2
Magnetic moment (μB/atom): 1.20
Crystal system: cubic
E_tot (eV/cell): -65.7

The structure in CIF format:
```
data_UAlNi
_cell_length_a 6.397
_cell_length_b 6.397
_cell_length_c 6.397
_cell_angle_alpha 90.00
_cell_angle_beta 90.00
_cell_angle_gamma 90.00
_symmetry_space_group_name_H-M 'F -4 3 m'
_symmetry_Int_Tables_number 216
_symmetry_space_group_name_Hall 'F -4 2 3'
loop_
_atom_site_label
_atom_site_type_symbol
_atom_site_fract_x
_atom_site_fract_y
_atom_site_fract_z
_atom_site_occupancy
U1 U 0.000 0.000 0.000 1
Al1 Al 0.250 0.250 0.750 1
Ni1 Ni 0.250 0.250 0.250 1
```



Record 6
DFT (PBE) results for BeIn2Mo after structural relaxation.

Mass density (g/cm³): 7.9
Magnetic moment (μB/atom): 0.00
Crystal system: cubic
E_tot (eV/cell): -67.3

The structure in CIF format:
```
data_BeIn2Mo
_cell_length_a 6.548
_cell_length_b 6.548
_cell_length_c 6.548
_cell_angle_alpha 90.00
_cell_angle_beta 90.00
_cell_angle_gamma 90.00
_symmetry_space_group_name_H-M 'F -4 3 m'
_symmetry_Int_Tables_number 216
_symmetry_space_group_name_Hall 'F -4 2 3'
loop_
_atom_site_label
_atom_site_type_symbol
_atom_site_fract_x
_atom_site_fract_y
_atom_site_fract_z
_atom_site_occupancy
Be1 Be 0.000 0.000 0.000 1
In1 In 0.000 0.000 0.500 1
In2 In 0.250 0.250 0.250 1
Mo1 Mo 0.250 0.250 0.750 1
```